Material: Tb3Ce2HoP6
Method: DFT, GGA-PBE
State: relaxed

Properties
SG: C2/m
Spin magnetization (μB per formula unit): 0.79
E_form (eV per formula unit): -19.0
Calculated density (g cm⁻³): 6.59

a = 6.993 Å, b = 6.993 Å, c = 6.991 Å
α = 99.60°, β = 99.60°, γ = 120.00°
Positions (direct):
Tb (0.000, 0.000, 0.000)
Tb (0.333, 0.667, 0.000)
Tb (0.667, 0.333, 0.000)
Ce (0.167, 0.833, 0.500)
Ce (0.833, 0.167, 0.500)
Ho (0.500, 0.500, 0.500)
P (0.085, 0.417, 0.251)
P (0.251, 0.251, 0.750)
P (0.417, 0.085, 0.251)
P (0.583, 0.915, 0.749)
P (0.749, 0.749, 0.250)
P (0.915, 0.583, 0.749)